Entry 1:
Computed, not measured: a relaxed structure of Zr2Ru2O at the PBE level of DFT.

Geometry as POSCAR:
```
Zr2Ru2O
1.0
-1.701 1.701 7.472
1.701 -1.701 7.472
1.701 1.701 -7.472
Zr Ru O
2 2 1
direct
0.098 0.098 0.000 Zr
0.902 0.902 0.000 Zr
0.250 0.750 0.500 Ru
0.750 0.250 0.500 Ru
0.500 0.500 0.000 O
```

E_form (uncorrected)	-192	meV per atom
final energy	-41.56	eV/cell
DOS at the Fermi energy	6.50	states/eV per cell
ΔE to the lowest computed polymorph	0.459	eV/atom

=====

Entry 2:
Computed, not measured: a relaxed structure of Zr2Ru2O at the PBE level of DFT.

Geometry as POSCAR:
```
Zr2Ru2O
1.0
7.042 0.000 0.000
0.000 7.042 0.000
0.000 0.000 3.442
Zr Ru O
4 4 2
direct
0.167 0.333 0.000 Zr
0.333 0.833 0.000 Zr
0.667 0.167 0.000 Zr
0.833 0.667 0.000 Zr
0.138 0.638 0.500 Ru
0.362 0.138 0.500 Ru
0.638 0.862 0.500 Ru
0.862 0.362 0.500 Ru
0.000 0.000 0.500 O
0.500 0.500 0.500 O
```

E_form (uncorrected)	-29	meV per atom
final energy	-81.50	eV/cell
DOS at the Fermi energy	6.65	states/eV per cell
ΔE to the lowest computed polymorph	0.622	eV/atom

=====

Entry 3:
Computed, not measured: a relaxed structure of Zr2Ru2O at the PBE level of DFT.

Geometry as POSCAR:
```
Zr2Ru2O
1.0
-2.632 2.632 3.278
2.632 -2.632 3.278
2.632 2.632 -3.278
Zr Ru O
2 2 1
direct
0.250 0.750 0.500 Zr
0.750 0.250 0.500 Zr
0.199 0.199 0.000 Ru
0.801 0.801 0.000 Ru
0.500 0.500 0.000 O
```

E_form (uncorrected)	62	meV per atom
final energy	-40.30	eV/cell
DOS at the Fermi energy	4.81	states/eV per cell
ΔE to the lowest computed polymorph	0.713	eV/atom

=====

Entry 4:
Computed, not measured: a relaxed structure of Zr4RuO at the PBE level of DFT.

Geometry as POSCAR:
```
Zr4RuO
1.0
-4.004 4.004 3.749
4.004 -4.004 3.749
4.004 4.004 -3.749
Zr Ru O
8 2 2
direct
0.187 0.477 0.290 Zr
0.187 0.896 0.710 Zr
0.196 0.000 0.196 Zr
0.227 0.437 0.790 Zr
0.646 0.437 0.210 Zr
0.750 0.054 0.304 Zr
0.750 0.446 0.696 Zr
0.804 0.000 0.804 Zr
0.449 0.949 0.500 Ru
0.699 0.699 0.000 Ru
0.237 0.237 0.000 O
0.987 0.487 0.500 O
```

E_form (uncorrected)	-746	meV per atom
final energy	-105.81	eV/cell
DOS at the Fermi energy	5.69	states/eV per cell

=====

Entry 5:
Computed, not measured: a relaxed structure of S3O at the PBE level of DFT.

Geometry as POSCAR:
```
S3O
1.0
4.327 0.000 0.000
-0.414 4.948 0.000
-0.965 -2.156 4.827
S O
3 1
direct
0.000 0.000 0.000 S
0.211 0.835 0.691 S
0.615 0.204 0.805 S
0.712 0.189 0.551 O
```

E_form (uncorrected)	-264	meV per atom
final energy	-18.40	eV/cell
DOS at the Fermi energy	0.00	states/eV per cell

=====

Entry 6:
Computed, not measured: a relaxed structure of SO5 at the PBE level of DFT.

Geometry as POSCAR:
```
SO5
1.0
6.464 0.000 0.000
0.000 6.892 0.000
0.000 0.000 9.125
S O
4 20
direct
0.191 0.000 0.177 S
0.309 0.000 0.677 S
0.691 0.500 0.823 S
0.809 0.500 0.323 S
0.007 0.000 0.076 O
0.114 0.999 0.333 O
0.185 0.177 0.650 O
0.185 0.824 0.650 O
0.201 0.500 0.235 O
0.299 0.500 0.735 O
0.315 0.176 0.150 O
0.315 0.823 0.150 O
0.386 0.001 0.833 O
0.493 0.000 0.576 O
0.507 0.500 0.924 O
0.614 0.501 0.667 O
0.685 0.323 0.350 O
0.685 0.676 0.350 O
0.701 0.000 0.765 O
0.799 0.000 0.265 O
0.815 0.324 0.850 O
0.815 0.677 0.850 O
0.886 0.499 0.167 O
0.993 0.500 0.424 O
```

E_form (uncorrected)	-73	meV per atom
final energy	-117.42	eV/cell
DOS at the Fermi energy	15.23	states/eV per cell
ΔE to the lowest computed polymorph	0.600	eV/atom

=====

Entry 7:
Computed, not measured: a relaxed structure of SO3 at the PBE level of DFT.

Geometry as POSCAR:
```
SO3
1.0
11.374 0.000 0.000
0.000 12.851 0.000
0.000 0.000 5.505
S O
12 36
direct
0.134 0.080 0.000 S
0.143 0.647 0.296 S
0.195 0.427 0.341 S
0.305 0.927 0.841 S
0.357 0.147 0.796 S
0.366 0.580 0.500 S
0.634 0.420 0.000 S
0.643 0.853 0.296 S
0.695 0.073 0.341 S
0.805 0.573 0.841 S
0.857 0.353 0.796 S
0.866 0.920 0.500 S
0.016 0.099 0.931 O
0.088 0.650 0.526 O
0.115 0.711 0.095 O
0.141 0.421 0.573 O
0.141 0.527 0.186 O
0.168 0.968 0.868 O
0.177 0.082 0.242 O
0.201 0.345 0.171 O
0.212 0.158 0.825 O
0.288 0.658 0.325 O
0.299 0.845 0.671 O
0.323 0.582 0.742 O
0.332 0.468 0.368 O
0.359 0.027 0.686 O
0.359 0.921 0.073 O
0.385 0.211 0.595 O
0.412 0.150 0.026 O
0.484 0.599 0.431 O
0.516 0.401 0.931 O
0.588 0.850 0.526 O
0.615 0.789 0.095 O
0.641 0.079 0.573 O
0.641 0.973 0.186 O
0.668 0.532 0.868 O
0.677 0.418 0.242 O
0.701 0.155 0.171 O
0.712 0.342 0.825 O
0.788 0.842 0.325 O
0.799 0.655 0.671 O
0.823 0.918 0.742 O
0.832 0.032 0.368 O
0.859 0.473 0.686 O
0.859 0.579 0.073 O
0.885 0.289 0.595 O
0.912 0.350 0.026 O
0.984 0.901 0.431 O
```

E_form (uncorrected)	-1051	meV per atom
final energy	-278.46	eV/cell
DOS at the Fermi energy	0.00	states/eV per cell

=====

Entry 8:
Computed, not measured: a relaxed structure of S8O at the PBE level of DFT.

Geometry as POSCAR:
```
S8O
1.0
14.149 0.000 0.000
0.000 8.776 0.000
0.000 0.000 8.800
S O
32 4
direct
0.022 0.000 0.011 S
0.038 0.493 0.500 S
0.079 0.186 0.903 S
0.079 0.369 0.050 S
0.120 0.019 0.449 S
0.142 0.537 0.648 S
0.202 0.929 0.612 S
0.237 0.696 0.519 S
0.263 0.696 0.019 S
0.298 0.929 0.112 S
0.358 0.537 0.148 S
0.380 0.019 0.949 S
0.421 0.186 0.403 S
0.421 0.369 0.550 S
0.462 0.493 0.000 S
0.478 0.000 0.511 S
0.522 0.000 0.011 S
0.538 0.507 0.500 S
0.579 0.631 0.050 S
0.579 0.814 0.903 S
0.620 0.981 0.449 S
0.642 0.463 0.648 S
0.702 0.071 0.612 S
0.737 0.304 0.519 S
0.763 0.304 0.019 S
0.798 0.071 0.112 S
0.858 0.463 0.148 S
0.880 0.981 0.949 S
0.921 0.631 0.550 S
0.921 0.814 0.403 S
0.962 0.507 0.000 S
0.978 0.000 0.511 S
0.202 0.696 0.360 O
0.298 0.696 0.860 O
0.702 0.304 0.360 O
0.798 0.304 0.860 O
```

E_form (uncorrected)	-120	meV per atom
final energy	-156.24	eV/cell
DOS at the Fermi energy	0.00	states/eV per cell

=====

Entry 9:
Computed, not measured: a relaxed structure of SO4 at the PBE level of DFT.

Geometry as POSCAR:
```
SO4
1.0
0.000 3.896 3.896
3.896 0.000 3.896
3.896 3.896 0.000
S O
1 4
direct
0.000 0.000 0.000 S
0.110 0.110 0.110 O
0.110 0.110 0.670 O
0.110 0.670 0.110 O
0.670 0.110 0.110 O
```

E_form (uncorrected)	-548	meV per atom
final energy	-26.70	eV/cell
DOS at the Fermi energy	7.31	states/eV per cell
ΔE to the lowest computed polymorph	0.017	eV/atom

=====

Entry 10:
Computed, not measured: a relaxed structure of SO4 at the PBE level of DFT.

Geometry as POSCAR:
```
SO4
1.0
4.466 -2.429 0.000
4.466 2.429 0.000
-3.662 0.000 8.479
S O
2 8
direct
0.083 0.917 0.750 S
0.917 0.083 0.250 S
0.065 0.235 0.797 O
0.219 0.716 0.607 O
0.235 0.065 0.297 O
0.284 0.781 0.893 O
0.716 0.219 0.107 O
0.765 0.935 0.703 O
0.781 0.284 0.393 O
0.935 0.765 0.203 O
```

E_form (uncorrected)	-565	meV per atom
final energy	-53.57	eV/cell
DOS at the Fermi energy	3.11	states/eV per cell
ΔE to the lowest computed polymorph	0.000	eV/atom

=====

Copy entry 8 word for word.
Computed, not measured: a relaxed structure of S8O at the PBE level of DFT.

Geometry as POSCAR:
```
S8O
1.0
14.149 0.000 0.000
0.000 8.776 0.000
0.000 0.000 8.800
S O
32 4
direct
0.022 0.000 0.011 S
0.038 0.493 0.500 S
0.079 0.186 0.903 S
0.079 0.369 0.050 S
0.120 0.019 0.449 S
0.142 0.537 0.648 S
0.202 0.929 0.612 S
0.237 0.696 0.519 S
0.263 0.696 0.019 S
0.298 0.929 0.112 S
0.358 0.537 0.148 S
0.380 0.019 0.949 S
0.421 0.186 0.403 S
0.421 0.369 0.550 S
0.462 0.493 0.000 S
0.478 0.000 0.511 S
0.522 0.000 0.011 S
0.538 0.507 0.500 S
0.579 0.631 0.050 S
0.579 0.814 0.903 S
0.620 0.981 0.449 S
0.642 0.463 0.648 S
0.702 0.071 0.612 S
0.737 0.304 0.519 S
0.763 0.304 0.019 S
0.798 0.071 0.112 S
0.858 0.463 0.148 S
0.880 0.981 0.949 S
0.921 0.631 0.550 S
0.921 0.814 0.403 S
0.962 0.507 0.000 S
0.978 0.000 0.511 S
0.202 0.696 0.360 O
0.298 0.696 0.860 O
0.702 0.304 0.360 O
0.798 0.304 0.860 O
```

E_form (uncorrected)	-120	meV per atom
final energy	-156.24	eV/cell
DOS at the Fermi energy	0.00	states/eV per cell